[1]
# PrPu2H PBE optimized geometry
data_PrPu2H
_space_group_name_H-M_alt 'P 1'
_space_group_IT_number 1
_space_group_name_Hall 'P 1'
_cell_length_a 3.233
_cell_length_b 3.233
_cell_length_c 8.744
_cell_angle_alpha 90.00
_cell_angle_beta 90.00
_cell_angle_gamma 90.00
loop_
_atom_site_label
_atom_site_fract_x
_atom_site_fract_y
_atom_site_fract_z
_atom_site_occupancy
Pr1 0.500 0.500 0.500 1
Pu1 0.000 0.000 0.829 1
Pu2 0.000 0.000 0.171 1
H1 0.500 0.500 0.000 1
# - raw total energy (eV per atom) = -8.990
# - Fermi-level density of states (states/eV per atom) = 2.86
# - symmetry = P4/mmm, No. 123

---

[2]
# Na8B13C3 PBE optimized geometry
data_Na8B13C3
_space_group_name_H-M_alt 'P 1'
_space_group_IT_number 1
_space_group_name_Hall 'P 1'
_cell_length_a 2.805
_cell_length_b 5.317
_cell_length_c 17.354
_cell_angle_alpha 90.00
_cell_angle_beta 90.00
_cell_angle_gamma 90.00
loop_
_atom_site_label
_atom_site_fract_x
_atom_site_fract_y
_atom_site_fract_z
_atom_site_occupancy
B1 0.000 0.681 0.626 1
Na1 0.500 0.500 0.000 1
Na2 0.000 0.000 0.750 1
Na3 0.000 0.999 0.500 1
Na4 0.500 0.500 0.750 1
Na5 0.500 0.500 0.500 1
B2 0.500 0.155 0.375 1
Na6 0.000 0.000 0.000 1
B3 0.500 0.845 0.375 1
B4 0.000 0.650 0.875 1
B5 0.500 0.866 0.875 1
C1 0.500 0.838 0.626 1
B6 0.000 0.349 0.124 1
B7 0.000 0.681 0.124 1
B8 0.500 0.134 0.626 1
C2 0.500 0.162 0.875 1
B9 0.000 0.344 0.375 1
C3 0.500 0.838 0.124 1
Na7 0.500 0.500 0.250 1
B10 0.000 0.655 0.375 1
Na8 0.000 0.999 0.250 1
B11 0.000 0.319 0.875 1
B12 0.000 0.349 0.626 1
B13 0.500 0.134 0.124 1
# - raw total energy (eV per atom) = -5.023
# - Fermi-level density of states (states/eV per atom) = 0.19
# - E_form (eV/atom) = 0.186
# - symmetry = Pmm2, No. 25

---

[3]
# Dy2Al4Cu3Pd PBE optimized geometry
data_Dy2Al4Cu3Pd
_space_group_name_H-M_alt 'P 1'
_space_group_IT_number 1
_space_group_name_Hall 'P 1'
_cell_length_a 4.140
_cell_length_b 4.140
_cell_length_c 10.315
_cell_angle_alpha 90.00
_cell_angle_beta 90.00
_cell_angle_gamma 90.00
loop_
_atom_site_label
_atom_site_fract_x
_atom_site_fract_y
_atom_site_fract_z
_atom_site_occupancy
Al1 0.000 0.500 0.367 1
Cu1 0.000 0.500 0.134 1
Cu2 0.000 0.000 0.500 1
Cu3 0.500 0.000 0.866 1
Dy1 0.000 0.500 0.753 1
Dy2 0.500 0.000 0.247 1
Al2 0.000 0.000 0.000 1
Al3 0.500 0.500 0.000 1
Pd1 0.500 0.500 0.500 1
Al4 0.500 0.000 0.633 1
# - raw total energy (eV per atom) = -4.685
# - Fermi-level density of states (states/eV per atom) = 0.62
# - E_form (eV/atom) = -0.520
# - symmetry = P-4m2, No. 115

---

[4]
# Rb4Cd5Bi6 PBE optimized geometry
data_Rb4Cd5Bi6
_space_group_name_H-M_alt 'P 1'
_space_group_IT_number 1
_space_group_name_Hall 'P 1'
_cell_length_a 4.997
_cell_length_b 11.657
_cell_length_c 20.635
_cell_angle_alpha 90.00
_cell_angle_beta 90.00
_cell_angle_gamma 102.38
loop_
_atom_site_label
_atom_site_fract_x
_atom_site_fract_y
_atom_site_fract_z
_atom_site_occupancy
Bi1 0.434 0.869 0.877 1
Rb1 0.999 0.999 0.506 1
Rb2 0.182 0.364 0.305 1
Cd1 0.579 0.157 0.139 1
Cd2 0.629 0.259 0.505 1
Bi2 0.799 0.599 0.258 1
Rb3 0.184 0.368 0.945 1
Bi3 0.201 0.401 0.758 1
Bi4 0.563 0.126 0.883 1
Bi5 0.447 0.895 0.131 1
Cd3 0.869 0.739 0.132 1
Rb4 0.001 0.002 0.757 1
Bi6 0.553 0.105 0.631 1
Bi7 0.853 0.707 0.621 1
Rb5 0.818 0.636 0.805 1
Cd4 0.627 0.255 0.756 1
Bi8 0.203 0.405 0.508 1
Cd5 0.729 0.459 0.135 1
Bi9 0.437 0.874 0.383 1
Rb6 0.001 0.001 0.006 1
Cd6 0.271 0.541 0.635 1
Rb7 0.999 0.998 0.257 1
Cd7 0.421 0.843 0.639 1
Rb8 0.816 0.632 0.445 1
Bi10 0.797 0.595 0.008 1
Bi11 0.566 0.131 0.377 1
Cd8 0.371 0.741 0.005 1
Cd9 0.373 0.745 0.256 1
Cd10 0.131 0.261 0.632 1
Bi12 0.147 0.293 0.121 1
# - raw total energy (eV per atom) = -2.305
# - Fermi-level density of states (states/eV per atom) = 0.39
# - E_form (eV/atom) = -0.190
# - symmetry = Cmc2_1, No. 36

---

[5]
# Nd2SiAu PBE optimized geometry
data_Nd2SiAu
_space_group_name_H-M_alt 'P 1'
_space_group_IT_number 1
_space_group_name_Hall 'P 1'
_cell_length_a 4.344
_cell_length_b 6.069
_cell_length_c 8.424
_cell_angle_alpha 111.52
_cell_angle_beta 90.00
_cell_angle_gamma 90.00
loop_
_atom_site_label
_atom_site_fract_x
_atom_site_fract_y
_atom_site_fract_z
_atom_site_occupancy
Nd1 0.250 0.781 0.068 1
Au1 0.250 0.357 0.214 1
Nd2 0.750 0.219 0.932 1
Au2 0.750 0.643 0.786 1
Si1 0.250 0.334 0.709 1
Nd3 0.750 0.214 0.424 1
Si2 0.750 0.666 0.291 1
Nd4 0.250 0.786 0.576 1
# - raw total energy (eV per atom) = -5.262
# - energy relative to the elements, uncorrected (eV/atom) = -0.703
# - Fermi-level density of states (states/eV per atom) = 1.10
# - symmetry = P2_1/m, No. 11

---

[6]
# Ca2BeCu3As4 PBE optimized geometry
data_Ca2BeCu3As4
_space_group_name_H-M_alt 'P 1'
_space_group_IT_number 1
_space_group_name_Hall 'P 1'
_cell_length_a 4.190
_cell_length_b 4.190
_cell_length_c 10.161
_cell_angle_alpha 90.00
_cell_angle_beta 90.00
_cell_angle_gamma 90.00
loop_
_atom_site_label
_atom_site_fract_x
_atom_site_fract_y
_atom_site_fract_z
_atom_site_occupancy
Cu1 0.000 0.500 0.134 1
Ca1 0.000 0.500 0.752 1
Be1 0.500 0.500 0.500 1
As1 0.000 0.500 0.369 1
Ca2 0.500 0.000 0.248 1
As2 0.500 0.500 0.000 1
As3 0.000 0.000 0.000 1
Cu2 0.500 0.000 0.866 1
Cu3 0.000 0.000 0.500 1
As4 0.500 0.000 0.631 1
# - raw total energy (eV per atom) = -4.335
# - Fermi-level density of states (states/eV per atom) = 0.13
# - E_form (eV/atom) = -0.473
# - symmetry = P-4m2, No. 115

---

[7]
# Ac2La4PmSm PBE optimized geometry
data_Ac2La4PmSm
_space_group_name_H-M_alt 'P 1'
_space_group_IT_number 1
_space_group_name_Hall 'P 1'
_cell_length_a 3.801
_cell_length_b 6.483
_cell_length_c 12.589
_cell_angle_alpha 79.45
_cell_angle_beta 90.00
_cell_angle_gamma 90.00
loop_
_atom_site_label
_atom_site_fract_x
_atom_site_fract_y
_atom_site_fract_z
_atom_site_occupancy
La1 0.500 0.255 0.748 1
La2 0.000 0.746 0.753 1
Sm1 0.500 0.500 0.000 1
La3 0.000 0.254 0.247 1
Ac1 0.000 0.000 0.000 1
Pm1 0.000 0.500 0.500 1
La4 0.500 0.745 0.252 1
Ac2 0.500 0.000 0.500 1
# - raw total energy (eV per atom) = -4.648
# - Fermi-level density of states (states/eV per atom) = 1.91
# - E_form (eV/atom) = 0.027
# - symmetry = P2/m, No. 10

---

[8]
# AcTl2Cu3F12 PBE optimized geometry
data_AcTl2Cu3F12
_space_group_name_H-M_alt 'P 1'
_space_group_IT_number 1
_space_group_name_Hall 'P 1'
_cell_length_a 7.012
_cell_length_b 7.012
_cell_length_c 7.012
_cell_angle_alpha 66.80
_cell_angle_beta 66.80
_cell_angle_gamma 66.80
loop_
_atom_site_label
_atom_site_fract_x
_atom_site_fract_y
_atom_site_fract_z
_atom_site_occupancy
F1 0.099 0.741 0.741 1
Cu1 0.000 0.000 0.500 1
Cu2 0.500 0.000 0.000 1
Cu3 0.000 0.500 0.000 1
F2 0.422 0.863 0.863 1
F3 0.863 0.422 0.863 1
F4 0.259 0.901 0.259 1
Ac1 0.000 0.000 0.000 1
F5 0.137 0.578 0.137 1
F6 0.901 0.259 0.259 1
Tl1 0.612 0.612 0.612 1
F7 0.741 0.741 0.099 1
Tl2 0.388 0.388 0.388 1
F8 0.741 0.099 0.741 1
F9 0.137 0.137 0.578 1
F10 0.578 0.137 0.137 1
F11 0.259 0.259 0.901 1
F12 0.863 0.863 0.422 1
# - raw total energy (eV per atom) = -4.616
# - energy relative to the elements, uncorrected (eV/atom) = -2.195
# - Fermi-level density of states (states/eV per atom) = 0.10
# - symmetry = R-3m, No. 166